Record 1
VASP calculation (PBE-GGA) on LiP2Ir after structural relaxation.

It has space group C2/m (No. 12), with a = 7.194 Å, b = 3.518 Å, c = 5.102 Å, α = 90.00°, β = 102.94° and γ = 90.00°. The asymmetric unit holds Li at (0.000, 0.000, 0.000), P at (0.224, 0.000, 0.688) and Ir at (0.000, 0.500, 0.500).

The energy above the most stable polymorph in this dataset comes out at 0.2305 eV/atom. For the formation enthalpy at 0 K, the calculation gives -0.3528 eV/atom. Its raw total energy is -46.01 eV for the cell shown. As for the density of states at the Fermi level: 0.48 states/eV per atom.

Record 2
VASP calculation (PBE-GGA) on ScAsHRh2 after structural relaxation.

It has space group P4/mmm (No. 123), with a = 3.978 Å, b = 3.978 Å, c = 4.122 Å, α = 90.00°, β = 90.00° and γ = 90.00°. The asymmetric unit holds Sc at (0.000, 0.000, 0.000), As at (0.500, 0.500, 0.000), H at (0.000, 0.000, 0.500) and Rh at (0.000, 0.500, 0.500).

Its raw total energy is -31.93 eV for the cell shown. As for the density of states at the Fermi level: 0.60 states/eV per atom.

Record 3
VASP calculation (PBE-GGA) on BaSrMgHg after structural relaxation.

It has space group P4mm (No. 99), with a = 4.127 Å, b = 4.127 Å, c = 8.599 Å, α = 90.00°, β = 90.00° and γ = 90.00°. The asymmetric unit holds Ba at (0.000, 0.000, 0.000), Sr at (0.000, 0.000, 0.530), Mg at (0.500, 0.500, 0.278) and Hg at (0.500, 0.500, 0.748).

For the formation enthalpy at 0 K, the calculation gives -0.2909 eV/atom. Its raw total energy is -6.66 eV for the cell shown. As for the density of states at the Fermi level: 0.61 states/eV per atom.

Record 4
VASP calculation (PBE-GGA) on MgTcHI2 after structural relaxation.

It has space group P4/mmm (No. 123), with a = 5.773 Å, b = 5.773 Å, c = 3.640 Å, α = 90.00°, β = 90.00° and γ = 90.00°. The asymmetric unit holds Mg at (0.000, 0.000, 0.000), Tc at (0.500, 0.500, 0.500), H at (0.000, 0.000, 0.500) and I at (0.000, 0.500, 0.000).

Its raw total energy is -16.22 eV for the cell shown. As for the density of states at the Fermi level: 0.35 states/eV per atom.

Record 5
VASP calculation (PBE-GGA) on EuDyThMg after structural relaxation.

It has space group F-43m (No. 216), with a = 7.953 Å, b = 7.953 Å, c = 7.953 Å, α = 90.00°, β = 90.00° and γ = 90.00°. The asymmetric unit holds Eu at (0.000, 0.000, 0.000), Dy at (0.000, 0.000, 0.500), Th at (0.250, 0.250, 0.250) and Mg at (0.250, 0.250, 0.750).

For the formation enthalpy at 0 K, the calculation gives 0.2215 eV/atom. Its raw total energy is -92.02 eV for the cell shown. As for the density of states at the Fermi level: 1.35 states/eV per atom.

Record 6
VASP calculation (PBE-GGA) on YAg2BiP after structural relaxation.

It has space group P4/mmm (No. 123), with a = 5.185 Å, b = 5.185 Å, c = 5.474 Å, α = 90.00°, β = 90.00° and γ = 90.00°. The asymmetric unit holds Y at (0.000, 0.000, 0.000), Ag at (0.000, 0.500, 0.500), Bi at (0.500, 0.500, 0.500) and P at (0.500, 0.500, 0.000).

The energy above the most stable polymorph in this dataset comes out at 0.0000 eV/atom. For the formation enthalpy at 0 K, the calculation gives 0.5829 eV/atom. Its raw total energy is -18.54 eV for the cell shown. As for the density of states at the Fermi level: 0.67 states/eV per atom.